Compound: KSrIrPb2
Source: the Alexandria database
Functional: PBE
Structure: relaxed

The structure belongs to space group P4/mmm (No. 123); the cell edges are 5.482, 5.482 and 5.295 Å and the angles 90.00°, 90.00° and 90.00°. The distinct sites, in fractional coordinates, are K at (0.000, 0.000, 0.000), Sr at (0.000, 0.000, 0.500), Ir at (0.500, 0.500, 0.500) and Pb at (0.000, 0.500, 0.000).

The value obtained for the density of states at the Fermi level is 5.01 states/eV/cell. As for the energy of formation: 1656.6 meV per atom.



Compound: KTl2IrPb
Source: the Alexandria database
Functional: PBE
Structure: relaxed

The structure belongs to space group P4/mmm (No. 123); the cell edges are 5.368, 5.368 and 5.506 Å and the angles 90.00°, 90.00° and 90.00°. The distinct sites, in fractional coordinates, are K at (0.000, 0.000, 0.000), Tl at (0.000, 0.500, 0.500), Ir at (0.500, 0.500, 0.500) and Pb at (0.500, 0.500, 0.000).

The value obtained for the density of states at the Fermi level is 4.53 states/eV/cell. As for the energy of formation: 117.8 meV per atom.



Compound: K2IrPbW
Source: the Alexandria database
Functional: PBE
Structure: relaxed

The structure belongs to space group P4/mmm (No. 123); the cell edges are 6.333, 6.333 and 4.685 Å and the angles 90.00°, 90.00° and 90.00°. The distinct sites, in fractional coordinates, are K at (0.000, 0.500, 0.000), Ir at (0.000, 0.000, 0.500), Pb at (0.500, 0.500, 0.500) and W at (0.000, 0.000, 0.000).

The value obtained for the density of states at the Fermi level is 6.71 states/eV/cell. As for the energy of formation: 1386.9 meV per atom.



Compound: KZn2IrPb
Source: the Alexandria database
Functional: PBE
Structure: relaxed

The structure belongs to space group P4/mmm (No. 123); the cell edges are 5.039, 5.039 and 5.161 Å and the angles 90.00°, 90.00° and 90.00°. The distinct sites, in fractional coordinates, are K at (0.000, 0.000, 0.000), Zn at (0.000, 0.500, 0.500), Ir at (0.500, 0.500, 0.500) and Pb at (0.500, 0.500, 0.000).

The value obtained for the density of states at the Fermi level is 1.66 states/eV/cell. As for the energy of formation: -51.7 meV per atom.



Compound: KZr2IrPb
Source: the Alexandria database
Functional: PBE
Structure: relaxed

The structure belongs to space group P4/mmm (No. 123); the cell edges are 4.936, 4.936 and 4.848 Å and the angles 90.00°, 90.00° and 90.00°. The distinct sites, in fractional coordinates, are K at (0.000, 0.000, 0.000), Zr at (0.000, 0.500, 0.000), Ir at (0.000, 0.000, 0.500) and Pb at (0.500, 0.500, 0.500).

The value obtained for the density of states at the Fermi level is 5.54 states/eV/cell. As for the energy of formation: 1846.2 meV per atom.



Compound: KIr2Pd
Source: the Alexandria database
Functional: PBE
Structure: relaxed

The structure belongs to space group Fm-3m (No. 225); the cell edges are 6.563, 6.563 and 6.563 Å and the angles 90.00°, 90.00° and 90.00°. The distinct sites, in fractional coordinates, are K at (0.000, 0.000, 0.000), Ir at (0.250, 0.250, 0.250) and Pd at (0.000, 0.000, 0.500).

The value obtained for the density of states at the Fermi level is 30.81 states/eV/cell. For the polymorph energy (0 for the lowest one), the calculation gives 1.78 eV per formula unit. As for the energy of formation: 1314.9 meV per atom.



Compound: K2IrPd2
Source: the Alexandria database
Functional: PBE
Structure: relaxed

The structure belongs to space group P4/mbm (No. 127); the cell edges are 6.637, 6.637 and 5.404 Å and the angles 90.00°, 90.00° and 90.00°. The distinct sites, in fractional coordinates, are K at (0.182, 0.318, 0.000), Ir at (0.000, 0.000, 0.500) and Pd at (0.140, 0.640, 0.500).

The value obtained for the density of states at the Fermi level is 5.22 states/eV/cell. As for the energy of formation: 347.5 meV per atom.



Compound: KIrPd2
Source: the Alexandria database
Functional: PBE
Structure: relaxed

The structure belongs to space group I-42d (No. 122); the cell edges are 5.309, 5.309 and 16.549 Å and the angles 90.00°, 90.00° and 90.00°. The distinct sites, in fractional coordinates, are K at (0.000, 0.000, 0.000), Ir at (0.000, 0.000, 0.500) and Pd at (0.032, 0.250, 0.625).

The value obtained for the density of states at the Fermi level is 20.80 states/eV/cell. For the polymorph energy (0 for the lowest one), the calculation gives 0.00 eV per formula unit. As for the energy of formation: 656.0 meV per atom.



Compound: KIr2Pd
Source: the Alexandria database
Functional: PBE
Structure: relaxed

The structure belongs to space group I-42d (No. 122); the cell edges are 4.757, 4.757 and 18.449 Å and the angles 90.00°, 90.00° and 90.00°. The distinct sites, in fractional coordinates, are K at (0.000, 0.000, 0.000), Ir at (0.030, 0.750, 0.625) and Pd at (0.000, 0.000, 0.500).

The value obtained for the density of states at the Fermi level is 20.59 states/eV/cell. For the polymorph energy (0 for the lowest one), the calculation gives 0.00 eV per formula unit. As for the energy of formation: 869.4 meV per atom.



Compound: KIrPd3
Source: the Alexandria database
Functional: PBE
Structure: relaxed

The structure belongs to space group Pm-3m (No. 221); the cell edges are 4.964, 4.964 and 4.964 Å and the angles 90.00°, 90.00° and 90.00°. The distinct sites, in fractional coordinates, are K at (0.000, 0.000, 0.000), Ir at (0.500, 0.500, 0.500) and Pd at (0.000, 0.500, 0.500).

The value obtained for the density of states at the Fermi level is 7.46 states/eV/cell. For the polymorph energy (0 for the lowest one), the calculation gives 0.00 eV per formula unit. As for the energy of formation: 689.4 meV per atom.



Compound: KIrPd2
Source: the Alexandria database
Functional: PBE
Structure: relaxed

The structure belongs to space group Fm-3m (No. 225); the cell edges are 6.629, 6.629 and 6.629 Å and the angles 90.00°, 90.00° and 90.00°. The distinct sites, in fractional coordinates, are K at (0.000, 0.000, 0.000), Ir at (0.000, 0.000, 0.500) and Pd at (0.250, 0.250, 0.250).

The value obtained for the density of states at the Fermi level is 14.21 states/eV/cell. For the polymorph energy (0 for the lowest one), the calculation gives 0.32 eV per formula unit. As for the energy of formation: 735.4 meV per atom.



Compound: KIrPd3
Source: the Alexandria database
Functional: PBE
Structure: relaxed

The structure belongs to space group Pm-3m (No. 221); the cell edges are 4.796, 4.796 and 4.796 Å and the angles 90.00°, 90.00° and 90.00°. The distinct sites, in fractional coordinates, are K at (0.000, 0.000, 0.000), Ir at (0.500, 0.500, 0.500) and Pd at (0.000, 0.000, 0.500).

The value obtained for the density of states at the Fermi level is 14.41 states/eV/cell. For the polymorph energy (0 for the lowest one), the calculation gives 6.76 eV per formula unit. As for the energy of formation: 2040.5 meV per atom.



Compound: K2ReIrPd
Source: the Alexandria database
Functional: PBE
Structure: relaxed

The structure belongs to space group P4/mmm (No. 123); the cell edges are 6.106, 6.106 and 4.675 Å and the angles 90.00°, 90.00° and 90.00°. The distinct sites, in fractional coordinates, are K at (0.000, 0.500, 0.000), Re at (0.000, 0.000, 0.500), Ir at (0.000, 0.000, 0.000) and Pd at (0.500, 0.500, 0.500).

The value obtained for the density of states at the Fermi level is 3.25 states/eV/cell. As for the energy of formation: 1431.6 meV per atom.



Compound: K4Ir3PdS8
Source: the Alexandria database
Functional: PBE
Structure: relaxed

The structure belongs to space group R-3m (No. 166, hexagonal axes); the cell edges are 7.5175, 7.5175 and 20.3282 Å and the angles 90.00°, 90.00° and 120.00°. The distinct sites, in fractional coordinates, are K at (0.0000, 0.0000, 0.0000), K at (0.0000, 0.5000, 0.0000), Ir at (0.0000, 0.5000, 0.5000), Pd at (0.0000, 0.0000, 0.5000), S at (0.0000, 0.0000, 0.2214) and S at (0.0103, 0.5052, 0.7779).

The value obtained for the density of states at the Fermi level is 12.20 states/eV/cell. As for the uncorrected formation energy: -0.6559 eV/atom.